! GGA-PBE MnNb12W6, relaxed; values from VASP
&SYSTEM
  ibrav = 0, nat = 19, ntyp = 3
/
ATOMIC_SPECIES
Mn 54.94 Mn.upf
Nb 92.91 Nb.upf
W 183.84 W.upf
ATOMIC_POSITIONS angstrom
Mn 0.000 0.000 0.000
Nb -0.390 -1.573 2.405
Nb -1.167 1.124 2.405
Nb -1.444 -1.412 5.161
Nb 1.557 0.449 2.405
Nb -1.945 0.545 7.238
Nb -0.500 1.957 5.161
Nb 0.500 -1.957 7.238
Nb 1.945 -0.545 5.161
Nb -1.557 -0.449 9.994
Nb 1.444 1.412 7.238
Nb 1.167 -1.124 9.994
Nb 0.390 1.573 9.994
W -3.096 0.997 4.627
W -2.411 -2.183 7.773
W 0.685 -3.180 4.627
W -0.685 3.180 7.773
W 2.411 2.183 4.627
W 3.096 -0.997 7.773
CELL_PARAMETERS angstrom
4.879 2.817 4.133
-4.879 2.817 4.133
0.000 -5.634 4.133
! Electronic total energy   -204.667 eV/cell
! Crystal system   trigonal



! GGA-PBE Mn4Nb5W, relaxed; values from VASP
&SYSTEM
  ibrav = 0, nat = 10, ntyp = 3
/
ATOMIC_SPECIES
Mn 54.94 Mn.upf
Nb 92.91 Nb.upf
W 183.84 W.upf
ATOMIC_POSITIONS angstrom
Mn 0.000 0.000 1.525
Mn 0.000 0.000 4.569
Mn 0.000 0.000 11.024
Mn 0.000 0.000 14.068
Nb 1.555 1.555 0.000
Nb 1.555 1.555 3.051
Nb 1.555 1.555 6.117
Nb 1.555 1.555 9.476
Nb 1.555 1.555 12.542
W 0.000 0.000 7.797
CELL_PARAMETERS angstrom
3.110 0.000 0.000
0.000 3.110 0.000
0.000 0.000 15.593
! Electronic total energy   -100.686 eV/cell
! Crystal system   tetragonal



! GGA-PBE Mn4NbW, relaxed; values from VASP
&SYSTEM
  ibrav = 0, nat = 6, ntyp = 3
/
ATOMIC_SPECIES
Mn 54.94 Mn.upf
Nb 92.91 Nb.upf
W 183.84 W.upf
ATOMIC_POSITIONS angstrom
Mn 0.841 0.841 0.841
Mn 2.534 2.534 0.841
Mn 2.534 0.841 2.534
Mn 0.841 2.534 2.534
Nb 5.063 5.063 5.063
W 3.376 3.376 3.376
CELL_PARAMETERS angstrom
0.000 3.376 3.376
3.376 0.000 3.376
3.376 3.376 0.000
! Electronic total energy   -60.225 eV/cell
! Crystal system   cubic



! GGA-PBE Mn2NbW2, relaxed; values from VASP
&SYSTEM
  ibrav = 0, nat = 10, ntyp = 3
/
ATOMIC_SPECIES
Mn 54.94 Mn.upf
Nb 92.91 Nb.upf
W 183.84 W.upf
ATOMIC_POSITIONS angstrom
Mn 1.002 2.578 0.000
Mn 2.578 6.158 0.000
Mn 4.582 1.002 0.000
Mn 6.158 4.582 0.000
Nb 0.000 0.000 0.000
Nb 3.580 3.580 0.000
W 1.123 4.704 1.436
W 2.457 1.123 1.436
W 4.704 6.037 1.436
W 6.037 2.457 1.436
CELL_PARAMETERS angstrom
7.160 0.000 0.000
0.000 7.160 0.000
0.000 0.000 2.871
! Electronic total energy   -106.136 eV/cell
! Crystal system   tetragonal



! GGA-PBE YMn4Nb, relaxed; values from VASP
&SYSTEM
  ibrav = 0, nat = 6, ntyp = 3
/
ATOMIC_SPECIES
Y 88.91 Y.upf
Mn 54.94 Mn.upf
Nb 92.91 Nb.upf
ATOMIC_POSITIONS angstrom
Y 0.000 0.000 0.000
Mn 4.398 2.647 2.647
Mn 2.647 4.398 2.647
Mn 2.647 2.647 4.398
Mn 4.398 4.398 4.398
Nb 1.761 1.761 1.761
CELL_PARAMETERS angstrom
0.000 3.522 3.522
3.522 0.000 3.522
3.522 3.522 0.000
! Electronic total energy   -52.877 eV/cell
! Crystal system   cubic



! GGA-PBE YMn2Nb, relaxed; values from VASP
&SYSTEM
  ibrav = 0, nat = 8, ntyp = 3
/
ATOMIC_SPECIES
Y 88.91 Y.upf
Mn 54.94 Mn.upf
Nb 92.91 Nb.upf
ATOMIC_POSITIONS angstrom
Y 0.000 0.000 0.000
Y 0.000 3.583 1.483
Mn 1.791 -1.540 2.224
Mn 2.043 1.791 0.741
Mn 1.791 5.123 -0.741
Mn 1.540 1.791 3.706
Nb 3.583 0.000 1.483
Nb 0.000 0.000 2.965
CELL_PARAMETERS angstrom
-3.583 3.583 2.965
3.583 -3.583 2.965
3.583 3.583 -2.965
! Electronic total energy   -64.922 eV/cell
! Crystal system   tetragonal



! GGA-PBE YMnNb2, relaxed; values from VASP
&SYSTEM
  ibrav = 0, nat = 4, ntyp = 3
/
ATOMIC_SPECIES
Y 88.91 Y.upf
Mn 54.94 Mn.upf
Nb 92.91 Nb.upf
ATOMIC_POSITIONS angstrom
Y 0.000 0.000 0.000
Mn 3.298 3.298 3.298
Nb 1.649 1.649 1.649
Nb 4.947 4.947 4.947
CELL_PARAMETERS angstrom
0.000 3.298 3.298
3.298 0.000 3.298
3.298 3.298 0.000
! Electronic total energy   -33.883 eV/cell
! Offset from the most stable computed form   0.00 eV/f.u.
! Crystal system   cubic



! GGA-PBE YMn3Nb, relaxed; values from VASP
&SYSTEM
  ibrav = 0, nat = 5, ntyp = 3
/
ATOMIC_SPECIES
Y 88.91 Y.upf
Mn 54.94 Mn.upf
Nb 92.91 Nb.upf
ATOMIC_POSITIONS angstrom
Y 0.000 0.000 0.000
Mn 0.000 2.366 2.366
Mn 2.366 0.000 2.366
Mn 2.366 2.366 0.000
Nb 2.366 2.366 2.366
CELL_PARAMETERS angstrom
4.732 0.000 0.000
0.000 4.732 0.000
0.000 0.000 4.732
! Electronic total energy   -40.179 eV/cell
! Offset from the most stable computed form   0.00 eV/f.u.
! Crystal system   cubic



! GGA-PBE Y2MnNb2, relaxed; values from VASP
&SYSTEM
  ibrav = 0, nat = 10, ntyp = 3
/
ATOMIC_SPECIES
Y 88.91 Y.upf
Mn 54.94 Mn.upf
Nb 92.91 Nb.upf
ATOMIC_POSITIONS angstrom
Y 1.102 2.117 0.000
Y 2.117 5.335 0.000
Y 4.320 1.102 0.000
Y 5.335 4.320 0.000
Mn 0.000 0.000 2.623
Mn 3.218 3.218 2.623
Nb 0.976 4.195 2.623
Nb 2.242 0.976 2.623
Nb 4.195 5.460 2.623
Nb 5.460 2.242 2.623
CELL_PARAMETERS angstrom
6.436 0.000 0.000
0.000 6.436 0.000
0.000 0.000 5.247
! Electronic total energy   -82.160 eV/cell
! Crystal system   tetragonal



! GGA-PBE YMnNb3, relaxed; values from VASP
&SYSTEM
  ibrav = 0, nat = 5, ntyp = 3
/
ATOMIC_SPECIES
Y 88.91 Y.upf
Mn 54.94 Mn.upf
Nb 92.91 Nb.upf
ATOMIC_POSITIONS angstrom
Y 0.000 0.000 0.000
Mn 2.440 2.440 2.440
Nb 0.000 0.000 2.440
Nb 0.000 2.440 0.000
Nb 2.440 0.000 0.000
CELL_PARAMETERS angstrom
4.879 0.000 0.000
0.000 4.879 0.000
0.000 0.000 4.879
! Electronic total energy   -33.006 eV/cell
! Offset from the most stable computed form   10.40 eV/f.u.
! Crystal system   cubic



! GGA-PBE Y2MnNb, relaxed; values from VASP
&SYSTEM
  ibrav = 0, nat = 4, ntyp = 3
/
ATOMIC_SPECIES
Y 88.91 Y.upf
Mn 54.94 Mn.upf
Nb 92.91 Nb.upf
ATOMIC_POSITIONS angstrom
Y 1.752 1.752 1.752
Y 5.256 5.256 5.256
Mn 0.000 0.000 0.000
Nb 3.504 3.504 3.504
CELL_PARAMETERS angstrom
0.000 3.504 3.504
3.504 0.000 3.504
3.504 3.504 0.000
! Electronic total energy   -29.475 eV/cell
! Offset from the most stable computed form   0.00 eV/f.u.
! Crystal system   cubic



! GGA-PBE Y2Mn2Nb, relaxed; values from VASP
&SYSTEM
  ibrav = 0, nat = 10, ntyp = 3
/
ATOMIC_SPECIES
Y 88.91 Y.upf
Mn 54.94 Mn.upf
Nb 92.91 Nb.upf
ATOMIC_POSITIONS angstrom
Y 1.156 2.076 0.000
Y 2.076 5.308 0.000
Y 4.387 1.156 0.000
Y 5.308 4.387 0.000
Mn 0.775 4.007 2.399
Mn 2.457 0.775 2.399
Mn 4.007 5.688 2.399
Mn 5.688 2.457 2.399
Nb 0.000 0.000 2.399
Nb 3.232 3.232 2.399
CELL_PARAMETERS angstrom
6.463 0.000 0.000
0.000 6.463 0.000
0.000 0.000 4.799
! Electronic total energy   -80.659 eV/cell
! Crystal system   tetragonal



! GGA-PBE YMn9Nb2, relaxed; values from VASP
&SYSTEM
  ibrav = 0, nat = 12, ntyp = 3
/
ATOMIC_SPECIES
Y 88.91 Y.upf
Mn 54.94 Mn.upf
Nb 92.91 Nb.upf
ATOMIC_POSITIONS angstrom
Y 0.000 0.000 0.000
Mn -1.264 -0.730 9.826
Mn 0.000 0.000 7.858
Mn 0.000 -1.460 13.586
Mn -1.264 0.730 13.586
Mn 0.000 0.000 11.706
Mn 1.264 -0.730 9.826
Mn 0.000 1.460 9.826
Mn 0.000 0.000 15.555
Mn 1.264 0.730 13.586
Nb 0.000 0.000 3.358
Nb 0.000 0.000 20.054
CELL_PARAMETERS angstrom
2.477 1.430 7.804
-2.477 1.430 7.804
0.000 -2.860 7.804
! Electronic total energy   -109.587 eV/cell
! Crystal system   trigonal



! GGA-PBE YMnNb3, relaxed; values from VASP
&SYSTEM
  ibrav = 0, nat = 5, ntyp = 3
/
ATOMIC_SPECIES
Y 88.91 Y.upf
Mn 54.94 Mn.upf
Nb 92.91 Nb.upf
ATOMIC_POSITIONS angstrom
Y 0.000 0.000 0.000
Mn 2.362 2.362 2.362
Nb 0.000 2.362 2.362
Nb 2.362 0.000 2.362
Nb 2.362 2.362 0.000
CELL_PARAMETERS angstrom
4.725 0.000 0.000
0.000 4.725 0.000
0.000 0.000 4.725
! Electronic total energy   -43.407 eV/cell
! Offset from the most stable computed form   0.00 eV/f.u.
! Crystal system   cubic



! GGA-PBE YMnNb2, relaxed; values from VASP
&SYSTEM
  ibrav = 0, nat = 8, ntyp = 3
/
ATOMIC_SPECIES
Y 88.91 Y.upf
Mn 54.94 Mn.upf
Nb 92.91 Nb.upf
ATOMIC_POSITIONS angstrom
Y 2.408 1.204 2.215
Y 0.000 1.204 6.645
Mn 2.408 -1.204 6.645
Mn 0.000 3.612 2.215
Nb 0.000 0.000 0.000
Nb 1.204 1.204 -4.430
Nb 1.204 -1.204 4.430
Nb 0.000 2.408 0.000
CELL_PARAMETERS angstrom
-2.408 2.408 8.860
2.408 -2.408 8.860
2.408 2.408 -8.860
! Electronic total energy   -63.203 eV/cell
! Offset from the most stable computed form   2.28 eV/f.u.
! Crystal system   tetragonal



! GGA-PBE Y2MnNb, relaxed; values from VASP
&SYSTEM
  ibrav = 0, nat = 8, ntyp = 3
/
ATOMIC_SPECIES
Y 88.91 Y.upf
Mn 54.94 Mn.upf
Nb 92.91 Nb.upf
ATOMIC_POSITIONS angstrom
Y 5.948 1.566 -0.716
Y 1.566 1.983 0.716
Y -1.983 2.399 2.147
Y 2.399 1.983 3.578
Mn 0.000 0.000 0.000
Mn 0.000 3.965 1.431
Nb 3.965 0.000 1.431
Nb 0.000 0.000 2.862
CELL_PARAMETERS angstrom
-3.965 3.965 2.862
3.965 -3.965 2.862
3.965 3.965 -2.862
! Electronic total energy   -57.399 eV/cell
! Offset from the most stable computed form   0.78 eV/f.u.
! Crystal system   tetragonal



! GGA-PBE YZrMnNb2, relaxed; values from VASP
&SYSTEM
  ibrav = 0, nat = 5, ntyp = 4
/
ATOMIC_SPECIES
Y 88.91 Y.upf
Zr 91.22 Zr.upf
Mn 54.94 Mn.upf
Nb 92.91 Nb.upf
ATOMIC_POSITIONS angstrom
Y 0.000 0.000 0.000
Zr 0.000 0.000 2.695
Mn 2.427 2.427 0.000
Nb 0.000 2.427 2.695
Nb 2.427 0.000 2.695
CELL_PARAMETERS angstrom
4.855 0.000 0.000
0.000 4.855 0.000
0.000 0.000 5.389
! Electronic total energy   -34.602 eV/cell
! Crystal system   tetragonal



! GGA-PBE Mn2NbZn, relaxed; values from VASP
&SYSTEM
  ibrav = 0, nat = 4, ntyp = 3
/
ATOMIC_SPECIES
Mn 54.94 Mn.upf
Nb 92.91 Nb.upf
Zn 65.41 Zn.upf
ATOMIC_POSITIONS angstrom
Mn 0.000 2.043 0.000
Mn 2.043 0.000 0.000
Nb 0.000 0.000 1.648
Zn 2.043 2.043 1.648
CELL_PARAMETERS angstrom
4.086 0.000 0.000
0.000 4.086 0.000
0.000 0.000 3.296
! Electronic total energy   -29.696 eV/cell
! Crystal system   tetragonal



! GGA-PBE Mn3NbZn, relaxed; values from VASP
&SYSTEM
  ibrav = 0, nat = 5, ntyp = 3
/
ATOMIC_SPECIES
Mn 54.94 Mn.upf
Nb 92.91 Nb.upf
Zn 65.41 Zn.upf
ATOMIC_POSITIONS angstrom
Mn 0.000 0.000 2.241
Mn 0.000 2.241 0.000
Mn 2.241 0.000 0.000
Nb 2.241 2.241 2.241
Zn 0.000 0.000 0.000
CELL_PARAMETERS angstrom
4.482 0.000 0.000
0.000 4.482 0.000
0.000 0.000 4.482
! Electronic total energy   -33.394 eV/cell
! Offset from the most stable computed form   0.00 eV/f.u.
! Crystal system   cubic



! GGA-PBE Mn2NbZn, relaxed; values from VASP
&SYSTEM
  ibrav = 0, nat = 4, ntyp = 3
/
ATOMIC_SPECIES
Mn 54.94 Mn.upf
Nb 92.91 Nb.upf
Zn 65.41 Zn.upf
ATOMIC_POSITIONS angstrom
Mn 0.000 0.000 1.417
Mn 0.000 0.000 4.310
Nb 1.570 1.570 2.864
Zn 1.570 1.570 0.000
CELL_PARAMETERS angstrom
3.140 0.000 0.000
0.000 3.140 0.000
0.000 0.000 5.727
! Electronic total energy   -29.621 eV/cell
! Crystal system   tetragonal